Crystalline Rb4TmPu3S8 at its relaxed geometry. Source: Alexandria, functional PBE.

Geometry as POSCAR:
```
Rb4TmPu3S8
1.0
4.120 2.379 7.647
-4.120 2.379 7.647
0.000 -4.758 7.647
Rb Tm Pu S
4 1 3 8
Cartesian
0.000 0.000 0.000
-2.060 -1.189 7.647
-2.060 1.189 15.294
0.000 2.379 7.647
0.000 0.000 11.471
-4.120 0.000 11.471
-2.060 1.189 3.824
2.060 1.189 3.824
0.000 0.000 5.266
-2.026 -1.169 12.926
0.000 -2.339 10.016
-2.026 1.169 10.016
2.026 -1.169 12.926
0.000 2.339 12.926
2.026 1.169 10.016
0.000 0.000 17.675
```

Computed properties:
electronic total energy	-6.90	eV/atom
magnetization	15.00	μB per formula unit


Crystalline VI4 at its relaxed geometry. Source: Alexandria, functional PBE.

Geometry as POSCAR:
```
VI4
1.0
5.545 0.000 0.000
0.000 5.545 0.000
0.000 0.000 5.545
V I
1 4
Cartesian
0.000 0.000 0.000
0.000 0.000 2.773
0.000 2.773 0.000
2.773 0.000 0.000
2.773 2.773 2.773
```

Computed properties:
electronic total energy	-3.06	eV/atom
magnetization	1.00	μB per formula unit


Crystalline Li2SmBeO4 at its relaxed geometry. Source: Alexandria, functional PBE.

Geometry as POSCAR:
```
Li2SmBeO4
1.0
-2.559 2.559 3.052
2.559 -2.559 3.052
2.559 2.559 -3.052
Li Sm Be O
2 1 1 4
Cartesian
2.559 0.000 1.526
0.000 2.559 1.526
0.000 0.000 0.000
0.000 0.000 3.052
1.574 1.574 -0.890
0.986 -0.986 3.942
0.986 0.986 2.161
-0.986 0.986 3.942
```

Computed properties:
electronic total energy	-6.34	eV/atom
magnetization	1.01	μB per formula unit


Crystalline K2ZnAgF5 at its relaxed geometry. Source: Alexandria, functional PBE.

Geometry as POSCAR:
```
K2ZnAgF5
1.0
6.841 0.000 0.000
0.000 6.841 0.000
0.000 0.000 6.497
K Zn Ag F
4 2 2 10
Cartesian
1.160 2.260 0.000
2.260 5.680 0.000
4.581 1.160 0.000
5.680 4.581 0.000
0.000 3.420 3.248
3.420 0.000 3.248
0.000 0.000 3.248
3.420 3.420 3.248
0.000 0.000 0.000
1.003 4.423 1.914
1.003 4.423 4.582
2.418 1.003 1.914
2.418 1.003 4.582
3.420 3.420 0.000
4.423 5.838 1.914
4.423 5.838 4.582
5.838 2.418 1.914
5.838 2.418 4.582
```

Computed properties:
electronic total energy	-3.81	eV/atom
magnetization	0.11	μB per formula unit